Here is HfCrP2Cl at its PBEsol-relaxed geometry from Alexandria via LeMat-Bulk. Energies are from meta-GGA SCAN.

The value obtained for the density of states at the Fermi level is 0.67 states/eV per atom. The density comes out at 4.627 g cm⁻³. The magnetic moment comes out at 4.23 μB per formula unit. As for the raw formation energy: -1.29 kcal/mol of atoms.

Unit cell a=4.953 b=4.953 c=4.797 alpha=90.00 beta=90.00 gamma=90.00
Space group P4/mmm (No. 123)
Symmetry-distinct sites (fractional):
1 Hf 0.000 0.000 0.000 (multiplicity 1)
2 Cr 0.500 0.500 0.500 (multiplicity 1)
3 P 0.000 0.500 0.000 (multiplicity 2)
4 Cl 0.000 0.000 0.500 (multiplicity 1)